The following is a GGA-PBE calculation of AcZn2Pt2 after structural relaxation, from Alexandria.

CIF file:
```
data_AcZn2Pt2
_chemical_formula_sum 'Ac2 Zn4 Pt4'
_cell_length_a 4.165
_cell_length_b 4.165
_cell_length_c 11.933
_cell_angle_alpha 90.00
_cell_angle_beta 90.00
_cell_angle_gamma 90.00
_symmetry_space_group_name_H-M 'I 4/m m m'
_symmetry_Int_Tables_number 139
_symmetry_space_group_name_Hall '-I 4 2'
loop_
_atom_site_label
_atom_site_fract_x
_atom_site_fract_y
_atom_site_fract_z
Ac1 0.000 0.000 0.000
Zn1 0.000 0.500 0.250
Pt1 0.000 0.000 0.383
```

Output
As for the energy of formation: -0.824 eV per atom. The spin magnetization comes out at 0.00 μB/f.u.